1.
A relaxed structure of BaSr2BiO6, computed with PBE-GGA.

Results
Fermi-level density of states: 5.92 states/eV/f.u.
calculated total energy: -117.0 eV/cell
formation energy without anion corrections: -1.96 eV/atom
V: 356.80 Å³ per cell

Lattice parameters (Å, degrees): 6.1436 6.5293 10.7141 90.00 123.88 90.00
Element x y z (fractional)
Ba (0.0000, 0.0000, 0.0000)
Ba (0.0000, 0.5000, 0.5000)
Sr (0.2182, 0.0429, 0.7268)
Sr (0.2182, 0.4571, 0.2268)
Sr (0.7818, 0.5429, 0.7732)
Sr (0.7818, 0.9571, 0.2732)
Bi (0.5000, 0.0000, 0.5000)
Bi (0.5000, 0.5000, 0.0000)
O (0.1702, 0.1612, 0.4667)
O (0.1702, 0.3388, 0.9667)
O (0.2395, 0.7372, 0.4015)
O (0.2395, 0.7628, 0.9015)
O (0.4088, 0.0963, 0.2840)
O (0.4088, 0.4037, 0.7840)
O (0.5912, 0.5963, 0.2160)
O (0.5912, 0.9037, 0.7160)
O (0.7605, 0.2372, 0.0985)
O (0.7605, 0.2628, 0.5985)
O (0.8298, 0.6612, 0.0333)
O (0.8298, 0.8388, 0.5333)

2.
A relaxed structure of AcLaDy3Ho, computed with PBE-GGA.

Results
Fermi-level density of states: 9.87 states/eV/f.u.
DFT formation energy: 20.63 kJ/mol of atoms
calculated total energy: -52.3 eV/cell
V: 423.59 Å³ per cell

Lattice parameters (Å, degrees): 10.1715 10.1715 7.5734 91.38 91.38 32.74
Element x y z (fractional)
Ac (0.1423, 0.1423, 0.0248)
Ac (0.8577, 0.8577, 0.9752)
La (0.4542, 0.4542, 0.7228)
La (0.5458, 0.5458, 0.2772)
Dy (0.0243, 0.0243, 0.7075)
Dy (0.2812, 0.2812, 0.7529)
Dy (0.3326, 0.3326, 0.2818)
Dy (0.6674, 0.6674, 0.7182)
Dy (0.7188, 0.7188, 0.2471)
Dy (0.9757, 0.9757, 0.2925)
Ho (0.1537, 0.1537, 0.4558)
Ho (0.8463, 0.8463, 0.5442)

3.
A relaxed structure of Er8Ag2Hg, computed with PBE-GGA.

Results
Fermi-level density of states: 10.31 states/eV/f.u.
DFT formation energy: -16.56 kJ/mol of atoms
calculated total energy: -44.4 eV/cell
V: 302.74 Å³ per cell

Lattice parameters (Å, degrees): 9.2060 9.2060 6.9833 106.63 106.63 32.40
Element x y z (fractional)
Er (0.0290, 0.0290, 0.2711)
Er (0.1976, 0.1976, 0.8149)
Er (0.3296, 0.3296, 0.5252)
Er (0.4066, 0.4066, 0.0363)
Er (0.5934, 0.5934, 0.9637)
Er (0.6704, 0.6704, 0.4748)
Er (0.8024, 0.8024, 0.1851)
Er (0.9710, 0.9710, 0.7289)
Ag (0.1838, 0.1838, 0.2139)
Ag (0.8162, 0.8162, 0.7861)
Hg (0.5000, 0.5000, 0.5000)

4.
A relaxed structure of SiSb2MoI, computed with PBE-GGA.

Results
Fermi-level density of states: 3.75 states/eV/f.u.
calculated total energy: -20.0 eV/cell
formation energy without anion corrections: 1.22 eV/atom
polymorph energy (0 for the lowest one): 132 kJ/mol of formula units
V: 145.83 Å³ per cell

Lattice parameters (Å, degrees): 5.2222 5.2222 5.3474 90.00 90.00 90.00
Element x y z (fractional)
Si (0.0000, 0.0000, 0.0000)
Sb (0.0000, 0.5000, 0.0000)
Sb (0.5000, 0.0000, 0.0000)
Mo (0.5000, 0.5000, 0.5000)
I (0.0000, 0.0000, 0.5000)

5.
A relaxed structure of La4Te2S3, computed with PBE-GGA.

Results
Fermi-level density of states: 3.64 states/eV/f.u.
calculated total energy: -110.8 eV/cell
formation energy without anion corrections: -1.89 eV/atom
V: 506.84 Å³ per cell

Lattice parameters (Å, degrees): 9.0833 9.0833 7.8795 90.00 90.00 128.77
Element x y z (fractional)
La (0.2005, 0.7995, 0.9576)
La (0.2151, 0.2849, 0.7500)
La (0.2849, 0.2151, 0.2500)
La (0.2995, 0.7005, 0.4576)
La (0.7005, 0.2995, 0.5424)
La (0.7151, 0.7849, 0.7500)
La (0.7849, 0.7151, 0.2500)
La (0.7995, 0.2005, 0.0424)
Te (0.1062, 0.8938, 0.5777)
Te (0.3938, 0.6062, 0.0777)
Te (0.6062, 0.3938, 0.9223)
Te (0.8938, 0.1062, 0.4223)
S (0.0000, 0.0000, 0.0000)
S (0.0388, 0.4612, 0.7500)
S (0.4612, 0.0388, 0.2500)
S (0.5000, 0.5000, 0.5000)
S (0.5388, 0.9612, 0.7500)
S (0.9612, 0.5388, 0.2500)

6.
A relaxed structure of Tm4Bi2Ir, computed with PBE-GGA.

Results
Fermi-level density of states: 5.18 states/eV/f.u.
DFT formation energy: -68.93 kJ/mol of atoms
calculated total energy: -79.0 eV/cell
V: 414.33 Å³ per cell

Lattice parameters (Å, degrees): 7.8316 12.1789 4.3440 90.00 90.00 90.00
Element x y z (fractional)
Tm (0.1289, 0.1981, 0.0000)
Tm (0.2081, 0.9423, 0.5000)
Tm (0.2919, 0.4423, 0.5000)
Tm (0.3711, 0.6981, 0.0000)
Tm (0.6289, 0.3019, 0.0000)
Tm (0.7081, 0.5577, 0.5000)
Tm (0.7919, 0.0577, 0.5000)
Tm (0.8711, 0.8019, 0.0000)
Bi (0.0789, 0.6697, 0.5000)
Bi (0.4211, 0.1697, 0.5000)
Bi (0.5789, 0.8303, 0.5000)
Bi (0.9211, 0.3303, 0.5000)
Ir (0.0000, 0.0000, 0.0000)
Ir (0.5000, 0.5000, 0.0000)

7.
A relaxed structure of AgMo2Pb, computed with PBE-GGA.

Results
Fermi-level density of states: 3.15 states/eV/f.u.
DFT formation energy: 73.90 kJ/mol of atoms
calculated total energy: -25.2 eV/cell
V: 73.15 Å³ per cell

Lattice parameters (Å, degrees): 5.2937 5.2937 2.9252 90.00 90.00 116.83
Element x y z (fractional)
Ag (0.0000, 0.0000, 0.0000)
Mo (0.0000, 0.5000, 0.5000)
Mo (0.5000, 0.0000, 0.5000)
Pb (0.5000, 0.5000, 0.0000)

8.
A relaxed structure of AgRh3C, computed with PBE-GGA.

Results
Fermi-level density of states: 6.02 states/eV/f.u.
DFT formation energy: 20.35 kJ/mol of atoms
calculated total energy: -33.1 eV/cell
polymorph energy (0 for the lowest one): 0 kJ/mol of formula units
V: 68.89 Å³ per cell

Lattice parameters (Å, degrees): 4.0993 4.0993 4.0993 90.00 90.00 90.00
Element x y z (fractional)
Ag (0.0000, 0.0000, 0.0000)
Rh (0.0000, 0.5000, 0.5000)
Rh (0.5000, 0.0000, 0.5000)
Rh (0.5000, 0.5000, 0.0000)
C (0.5000, 0.5000, 0.5000)

9.
A relaxed structure of MoP2Os, computed with PBE-GGA.

Results
Fermi-level density of states: 6.15 states/eV/f.u.
DFT formation energy: 55.36 kJ/mol of atoms
calculated total energy: -30.6 eV/cell
polymorph energy (0 for the lowest one): 316 kJ/mol of formula units
V: 57.85 Å³ per cell

Lattice parameters (Å, degrees): 4.3412 4.3412 4.3412 60.00 60.00 60.00
Element x y z (fractional)
Mo (0.0000, 0.0000, 0.0000)
P (0.5000, 0.5000, 0.5000)
P (0.7500, 0.7500, 0.7500)
Os (0.2500, 0.2500, 0.2500)

10.
A relaxed structure of Cu2Ag, computed with PBE-GGA.

Results
Fermi-level density of states: 0.58 states/eV/f.u.
DFT formation energy: 8.29 kJ/mol of atoms
calculated total energy: -10.8 eV/cell
polymorph energy (0 for the lowest one): 7 kJ/mol of formula units
V: 42.09 Å³ per cell

Lattice parameters (Å, degrees): 5.7935 5.7935 5.7935 152.25 152.25 39.65
Element x y z (fractional)
Cu (0.1775, 0.1775, 0.0000)
Cu (0.8225, 0.8225, 0.0000)
Ag (0.5000, 0.5000, 0.0000)

11.
A relaxed structure of BaTl2In2, computed with PBE-GGA.

Results
Fermi-level density of states: 2.41 states/eV/f.u.
DFT formation energy: -21.59 kJ/mol of atoms
calculated total energy: -26.5 eV/cell
polymorph energy (0 for the lowest one): 30 kJ/mol of formula units
V: 330.64 Å³ per cell

Lattice parameters (Å, degrees): 5.2461 5.2461 13.8723 90.00 90.00 120.00
Element x y z (fractional)
Ba (0.3333, 0.6667, 0.2500)
Ba (0.6667, 0.3333, 0.7500)
Tl (0.0000, 0.0000, 0.1158)
Tl (0.0000, 0.0000, 0.3842)
Tl (0.0000, 0.0000, 0.6158)
Tl (0.0000, 0.0000, 0.8842)
In (0.3333, 0.6667, 0.5482)
In (0.3333, 0.6667, 0.9518)
In (0.6667, 0.3333, 0.0482)
In (0.6667, 0.3333, 0.4518)

12.
A relaxed structure of Nd3AsPO, computed with PBE-GGA.

Results
Fermi-level density of states: 1.83 states/eV/f.u.
calculated total energy: -81.6 eV/cell
formation energy without anion corrections: -1.91 eV/atom
V: 309.35 Å³ per cell

Lattice parameters (Å, degrees): 8.5298 4.1098 8.9708 90.00 100.36 90.00
Element x y z (fractional)
Nd (0.0877, 0.2500, 0.3381)
Nd (0.3202, 0.2500, 0.9870)
Nd (0.3939, 0.7500, 0.6469)
Nd (0.6061, 0.2500, 0.3531)
Nd (0.6798, 0.7500, 0.0130)
Nd (0.9123, 0.7500, 0.6619)
As (0.3326, 0.7500, 0.2871)
As (0.6674, 0.2500, 0.7129)
P (0.1541, 0.2500, 0.6615)
P (0.8459, 0.7500, 0.3385)
O (0.4091, 0.7500, 0.9118)
O (0.5909, 0.2500, 0.0882)

13.
A relaxed structure of Ac4PrRu, computed with PBE-GGA.

Results
Fermi-level density of states: 8.06 states/eV/f.u.
DFT formation energy: -1.90 kJ/mol of atoms
calculated total energy: -61.2 eV/cell
V: 457.30 Å³ per cell

Lattice parameters (Å, degrees): 10.1134 10.1134 10.1134 142.40 132.88 61.78
Element x y z (fractional)
Ac (0.1274, 0.3869, 0.7405)
Ac (0.1732, 0.1732, 0.0000)
Ac (0.2855, 0.0000, 0.2855)
Ac (0.3536, 0.6131, 0.7405)
Ac (0.6464, 0.3869, 0.2595)
Ac (0.7145, 0.0000, 0.7145)
Ac (0.8268, 0.8268, 0.0000)
Ac (0.8726, 0.6131, 0.2595)
Pr (0.3034, 0.8034, 0.5000)
Pr (0.6966, 0.1966, 0.5000)
Ru (0.0000, 0.2609, 0.2609)
Ru (0.0000, 0.7391, 0.7391)

14.
A relaxed structure of SbAsBr2, computed with PBE-GGA.

Results
Fermi-level density of states: 1.33 states/eV/f.u.
calculated total energy: -12.2 eV/cell
formation energy without anion corrections: -0.01 eV/atom
polymorph energy (0 for the lowest one): 100 kJ/mol of formula units
V: 127.00 Å³ per cell

Lattice parameters (Å, degrees): 7.7348 7.7348 7.7348 151.57 144.67 45.96
Element x y z (fractional)
Sb (0.0000, 0.0000, 0.0000)
As (0.1400, 0.6400, 0.5000)
Br (0.4186, 0.4186, 0.0000)
Br (0.6531, 0.1531, 0.5000)

15.
A relaxed structure of Rb2LaBr2, computed with PBE-GGA.

Results
Fermi-level density of states: 3.83 states/eV/f.u.
calculated total energy: -27.3 eV/cell
formation energy without anion corrections: -0.69 eV/atom
V: 401.22 Å³ per cell

Lattice parameters (Å, degrees): 10.2988 10.2988 3.7827 90.00 90.00 90.00
Element x y z (fractional)
Rb (0.1367, 0.3633, 0.0000)
Rb (0.3633, 0.8633, 0.0000)
Rb (0.6367, 0.1367, 0.0000)
Rb (0.8633, 0.6367, 0.0000)
La (0.0000, 0.0000, 0.0000)
La (0.5000, 0.5000, 0.0000)
Br (0.1573, 0.6573, 0.5000)
Br (0.3427, 0.1573, 0.5000)
Br (0.6573, 0.8427, 0.5000)
Br (0.8427, 0.3427, 0.5000)

16.
A relaxed structure of K3GaMo, computed with PBE-GGA.

Results
Fermi-level density of states: 5.01 states/eV/f.u.
DFT formation energy: 116.78 kJ/mol of atoms
calculated total energy: -11.1 eV/cell
polymorph energy (0 for the lowest one): 0 kJ/mol of formula units
V: 268.90 Å³ per cell

Lattice parameters (Å, degrees): 6.4545 6.4545 6.4545 90.00 90.00 90.00
Element x y z (fractional)
K (0.0000, 0.0000, 0.5000)
K (0.0000, 0.5000, 0.0000)
K (0.5000, 0.0000, 0.0000)
Ga (0.0000, 0.0000, 0.0000)
Mo (0.5000, 0.5000, 0.5000)

17.
A relaxed structure of Mg2Tl3F7, computed with PBE-GGA.

Results
Fermi-level density of states: 0.00 states/eV/f.u.
calculated total energy: -55.2 eV/cell
formation energy without anion corrections: -2.65 eV/atom
V: 198.28 Å³ per cell

Lattice parameters (Å, degrees): 12.1012 12.1012 4.0665 90.00 90.00 160.55
Element x y z (fractional)
Mg (0.0880, 0.9120, 0.0000)
Mg (0.9120, 0.0880, 0.0000)
Tl (0.3204, 0.6796, 0.5000)
Tl (0.5000, 0.5000, 0.5000)
Tl (0.6796, 0.3204, 0.5000)
F (0.0000, 0.0000, 0.0000)
F (0.0887, 0.9113, 0.5000)
F (0.1717, 0.8283, 0.0000)
F (0.4112, 0.5888, 0.0000)
F (0.5888, 0.4112, 0.0000)
F (0.8283, 0.1717, 0.0000)
F (0.9113, 0.0887, 0.5000)

18.
A relaxed structure of LaMgGa, computed with PBE-GGA.

Results
Fermi-level density of states: 1.92 states/eV/f.u.
DFT formation energy: -26.66 kJ/mol of atoms
calculated total energy: -20.8 eV/cell
V: 166.55 Å³ per cell

Lattice parameters (Å, degrees): 4.7845 4.7845 7.2756 90.00 90.00 90.00
Element x y z (fractional)
La (0.2500, 0.2500, 0.2131)
La (0.7500, 0.7500, 0.7869)
Mg (0.2500, 0.2500, 0.7178)
Mg (0.7500, 0.7500, 0.2822)
Ga (0.2500, 0.7500, 0.5000)
Ga (0.7500, 0.2500, 0.5000)

19.
A relaxed structure of Be3Mo2, computed with PBE-GGA.

Results
Fermi-level density of states: 1.12 states/eV/f.u.
DFT formation energy: -21.31 kJ/mol of atoms
calculated total energy: -67.9 eV/cell
polymorph energy (0 for the lowest one): 0 kJ/mol of formula units
V: 109.23 Å³ per cell

Lattice parameters (Å, degrees): 6.3291 4.6211 7.1157 60.95 39.67 79.38
Element x y z (fractional)
Be (0.0000, 0.0000, 0.0000)
Be (0.2500, 0.2500, 0.2500)
Be (0.2631, 0.3518, 0.4943)
Be (0.3518, 0.2631, 0.8909)
Be (0.3591, 0.7557, 0.8982)
Be (0.7557, 0.3591, 0.9869)
Mo (0.3275, 0.7774, 0.5668)
Mo (0.6832, 0.9216, 0.9225)
Mo (0.7774, 0.3275, 0.3284)
Mo (0.9216, 0.6832, 0.4726)

20.
A relaxed structure of CoIr2Rh3, computed with PBE-GGA.

Results
Fermi-level density of states: 9.84 states/eV/f.u.
DFT formation energy: 41.47 kJ/mol of atoms
calculated total energy: -177.2 eV/cell
polymorph energy (0 for the lowest one): 77 kJ/mol of formula units
V: 368.89 Å³ per cell

Lattice parameters (Å, degrees): 8.1113 8.1113 8.1113 121.42 121.42 87.56
Element x y z (fractional)
Co (0.0922, 0.3422, 0.7500)
Co (0.3422, 0.0922, 0.2500)
Co (0.6578, 0.9078, 0.7500)
Co (0.9078, 0.6578, 0.2500)
Ir (0.2678, 0.7148, 0.5530)
Ir (0.2852, 0.3382, 0.5530)
Ir (0.2852, 0.7322, 0.9470)
Ir (0.3382, 0.2852, 0.0530)
Ir (0.6618, 0.7148, 0.9470)
Ir (0.7148, 0.2678, 0.0530)
Ir (0.7148, 0.6618, 0.4470)
Ir (0.7322, 0.2852, 0.4470)
Rh (0.0000, 0.5000, 0.5000)
Rh (0.0730, 0.3230, 0.1459)
Rh (0.0730, 0.9270, 0.7500)
Rh (0.3230, 0.0730, 0.6459)
Rh (0.3230, 0.6770, 0.2500)
Rh (0.5000, 0.0000, 0.0000)
Rh (0.5000, 0.5000, 0.0000)
Rh (0.5000, 0.5000, 0.5000)
Rh (0.6770, 0.3230, 0.7500)
Rh (0.6770, 0.9270, 0.3541)
Rh (0.9270, 0.0730, 0.2500)
Rh (0.9270, 0.6770, 0.8541)

21.
A relaxed structure of As2Pd13, computed with PBE-GGA.

Results
Fermi-level density of states: 13.75 states/eV/f.u.
DFT formation energy: -16.55 kJ/mol of atoms
calculated total energy: -79.4 eV/cell
V: 233.57 Å³ per cell

Lattice parameters (Å, degrees): 5.0927 6.6208 7.5784 68.88 79.79 81.40
Element x y z (fractional)
As (0.1737, 0.2883, 0.4308)
As (0.8263, 0.7117, 0.5692)
Pd (0.0000, 0.5000, 0.0000)
Pd (0.0481, 0.9266, 0.7045)
Pd (0.2274, 0.6810, 0.2131)
Pd (0.2509, 0.0954, 0.9459)
Pd (0.2653, 0.5004, 0.6437)
Pd (0.4496, 0.8837, 0.3951)
Pd (0.4847, 0.2996, 0.1408)
Pd (0.5153, 0.7004, 0.8592)
Pd (0.5504, 0.1163, 0.6049)
Pd (0.7347, 0.4996, 0.3563)
Pd (0.7491, 0.9046, 0.0541)
Pd (0.7726, 0.3190, 0.7869)
Pd (0.9519, 0.0734, 0.2955)

22.
A relaxed structure of In3TcO, computed with PBE-GGA.

Results
Fermi-level density of states: 11.39 states/eV/f.u.
calculated total energy: -20.2 eV/cell
formation energy without anion corrections: 0.66 eV/atom
polymorph energy (0 for the lowest one): 228 kJ/mol of formula units
V: 141.00 Å³ per cell

Lattice parameters (Å, degrees): 5.2048 5.2048 5.2048 90.00 90.00 90.00
Element x y z (fractional)
In (0.0000, 0.0000, 0.5000)
In (0.0000, 0.5000, 0.0000)
In (0.5000, 0.0000, 0.0000)
Tc (0.0000, 0.0000, 0.0000)
O (0.5000, 0.5000, 0.5000)